Material: Zr11Cu9Ni4
Method: DFT, PBE
State: optimized geometry

The structure belongs to space group Cmmm (No. 65); the cell edges are 12.774, 19.575 and 3.251 Å and the angles 90.00°, 90.00° and 90.00°. The asymmetric unit holds Zr at (0.000, 0.000, 0.000), Zr at (0.000, 0.168, 0.000), Zr at (0.000, 0.368, 0.000), Zr at (0.206, 0.500, 0.000), Zr at (0.235, 0.172, 0.000), Cu at (0.000, 0.500, 0.500), Cu at (0.104, 0.267, 0.500), Cu at (0.142, 0.069, 0.500) and Ni at (0.152, 0.401, 0.500).

As for the magnetic moment: 0.01 μB/f.u. For the theoretical density, the calculation gives 7.40 g/cm3. As for the formation energy: -0.218 eV/atom.